Entry 1:
Ce4SnPbN | GGA-PBE | optimized geometry

Unit cell a=8.9391 b=8.9391 c=6.8339 alpha=90.00 beta=90.00 gamma=135.04
Fractional coordinates of all 14 atoms:
Ce (0.0000, 0.5000, 0.0000)
Ce (0.0000, 0.5000, 0.5000)
Ce (0.0898, 0.9102, 0.7500)
Ce (0.4073, 0.5927, 0.7500)
Ce (0.5000, 0.0000, 0.0000)
Ce (0.5000, 0.0000, 0.5000)
Ce (0.5927, 0.4073, 0.2500)
Ce (0.9102, 0.0898, 0.2500)
Sn (0.1097, 0.8903, 0.2500)
Sn (0.8903, 0.1097, 0.7500)
Pb (0.3938, 0.6062, 0.2500)
Pb (0.6062, 0.3938, 0.7500)
N (0.2486, 0.7514, 0.7500)
N (0.7514, 0.2486, 0.2500)

Properties
Uncorrected formation energy in kJ/mol of atoms: -72.0
Symmetry: Cmcm, No. 63
Density of states at the Fermi level in states/eV/cell: 39.2

=====

Entry 2:
Ce12SnPb4N3 | GGA-PBE | optimized geometry

Unit cell a=8.9102 b=8.9102 c=8.9102 alpha=109.47 beta=109.47 gamma=109.47
Fractional coordinates of all 20 atoms:
Ce (0.0000, 0.2813, 0.2813)
Ce (0.0000, 0.7187, 0.7187)
Ce (0.2500, 0.5000, 0.7500)
Ce (0.2500, 0.7500, 0.5000)
Ce (0.2813, 0.0000, 0.2813)
Ce (0.2813, 0.2813, 0.0000)
Ce (0.5000, 0.2500, 0.7500)
Ce (0.5000, 0.7500, 0.2500)
Ce (0.7187, 0.0000, 0.7187)
Ce (0.7187, 0.7187, 0.0000)
Ce (0.7500, 0.2500, 0.5000)
Ce (0.7500, 0.5000, 0.2500)
Sn (0.0000, 0.0000, 0.0000)
Pb (0.0000, 0.0000, 0.5000)
Pb (0.0000, 0.5000, 0.0000)
Pb (0.5000, 0.0000, 0.0000)
Pb (0.5000, 0.5000, 0.5000)
N (0.0000, 0.5000, 0.5000)
N (0.5000, 0.0000, 0.5000)
N (0.5000, 0.5000, 0.0000)

Properties
Uncorrected formation energy in kJ/mol of atoms: -56.8
Symmetry: Im-3m, No. 229
Density of states at the Fermi level in states/eV/cell: 49.7

=====

Entry 3:
TbCe2PbN | GGA-PBE | optimized geometry

Unit cell a=4.9057 b=4.9057 c=4.9367 alpha=90.00 beta=90.00 gamma=90.00
Fractional coordinates of all 5 atoms:
Tb (0.0000, 0.0000, 0.0000)
Ce (0.0000, 0.5000, 0.5000)
Ce (0.5000, 0.0000, 0.5000)
Pb (0.5000, 0.5000, 0.0000)
N (0.0000, 0.0000, 0.5000)

Properties
Uncorrected formation energy in kJ/mol of atoms: -84.5
Symmetry: P4/mmm, No. 123
Density of states at the Fermi level in states/eV/cell: 8.9

=====

Entry 4:
Ce2ThPbN | GGA-PBE | optimized geometry

Unit cell a=4.9663 b=4.9663 c=4.9513 alpha=90.00 beta=90.00 gamma=90.00
Fractional coordinates of all 5 atoms:
Ce (0.0000, 0.5000, 0.0000)
Ce (0.5000, 0.0000, 0.0000)
Th (0.0000, 0.0000, 0.5000)
Pb (0.5000, 0.5000, 0.5000)
N (0.0000, 0.0000, 0.0000)

Properties
Uncorrected formation energy in kJ/mol of atoms: -79.9
Symmetry: P4/mmm, No. 123
Density of states at the Fermi level in states/eV/cell: 8.9

=====

Entry 5:
Ce2Th4Pb3N2 | GGA-PBE | optimized geometry

Unit cell a=13.7574 b=13.7574 c=13.7574 alpha=159.68 beta=159.68 gamma=28.89
Fractional coordinates of all 11 atoms:
Ce (0.1949, 0.1949, 0.0000)
Ce (0.8051, 0.8051, 0.0000)
Th (0.0839, 0.5839, 0.5000)
Th (0.4161, 0.9161, 0.5000)
Th (0.5839, 0.0839, 0.5000)
Th (0.9161, 0.4161, 0.5000)
Pb (0.3217, 0.3217, 0.0000)
Pb (0.5000, 0.5000, 0.0000)
Pb (0.6783, 0.6783, 0.0000)
N (0.1043, 0.1043, 0.0000)
N (0.8957, 0.8957, 0.0000)

Properties
Uncorrected formation energy in kJ/mol of atoms: -67.6
Symmetry: I4/mmm, No. 139
Density of states at the Fermi level in states/eV/cell: 18.6

=====

Entry 6:
Ce2YPbN | GGA-PBE | optimized geometry

Unit cell a=4.9105 b=4.9105 c=4.9215 alpha=90.00 beta=90.00 gamma=90.00
Fractional coordinates of all 5 atoms:
Ce (0.0000, 0.5000, 0.0000)
Ce (0.5000, 0.0000, 0.0000)
Y (0.0000, 0.0000, 0.5000)
Pb (0.5000, 0.5000, 0.5000)
N (0.0000, 0.0000, 0.0000)

Properties
Uncorrected formation energy in kJ/mol of atoms: -84.6
Symmetry: P4/mmm, No. 123
Density of states at the Fermi level in states/eV/cell: 9.0